[1]
GeBr after structural relaxation, computed with PBE-GGA.

Calculated values
* mass density: 3.530 Mg/m³
* SG: No. 2
* uncorrected formation energy: -0.21 eV per atom
* V: 35.88 Å³/atom
* calculated total energy: -3.352 eV per atom
* magnetic moment: 0.000 Bohr magnetons per cell
* distance to the lowest polymorph of the same formula: 0.000 eV per atom

abc: 4.314 5.625 6.761
angles: 90.13 107.56 112.23
Fractional positions:
Ge  0.167  0.370  0.460
Ge  0.833  0.630  0.540
Br  0.219  0.167  0.782
Br  0.781  0.833  0.218


[2]
GeBr after structural relaxation, computed with PBE-GGA.

Calculated values
* mass density: 3.423 Mg/m³
* SG: No. 19
* uncorrected formation energy: -0.20 eV per atom
* V: 37.00 Å³/atom
* calculated total energy: -3.343 eV per atom
* magnetic moment: 0.000 Bohr magnetons per cell
* distance to the lowest polymorph of the same formula: 0.009 eV per atom

abc: 6.899 8.121 10.566
angles: 90.00 90.00 90.00
Fractional positions:
Ge  0.158  0.037  0.036
Ge  0.167  0.683  0.510
Ge  0.333  0.317  0.010
Ge  0.342  0.963  0.536
Ge  0.658  0.463  0.964
Ge  0.667  0.817  0.490
Ge  0.833  0.183  0.990
Ge  0.842  0.537  0.464
Br  0.088  0.130  0.801
Br  0.114  0.547  0.054
Br  0.386  0.453  0.554
Br  0.412  0.870  0.301
Br  0.588  0.370  0.199
Br  0.614  0.953  0.946
Br  0.886  0.047  0.446
Br  0.912  0.630  0.699


[3]
GeBr3 after structural relaxation, computed with PBE-GGA.

Calculated values
* mass density: 4.422 Mg/m³
* SG: No. 166
* uncorrected formation energy: 0.26 eV per atom
* V: 29.33 Å³/atom
* calculated total energy: -2.145 eV per atom
* magnetic moment: 0.000 Bohr magnetons per cell
* distance to the lowest polymorph of the same formula: 0.541 eV per atom

abc: 13.672 13.672 13.672
angles: 13.28 13.28 13.28
Fractional positions:
Ge  0.000  0.000  0.000
Br  0.067  0.067  0.067
Br  0.500  0.500  0.500
Br  0.933  0.933  0.933


[4]
Ge3Br7 after structural relaxation, computed with PBE-GGA.

Calculated values
* mass density: 4.327 Mg/m³
* SG: No. 186
* uncorrected formation energy: -0.35 eV per atom
* V: 29.83 Å³/atom
* calculated total energy: -2.901 eV per atom
* magnetic moment: 0.000 Bohr magnetons per cell

abc: 10.027 10.027 6.852
angles: 90.00 90.00 120.00
Fractional positions:
Ge  0.194  0.388  0.000
Ge  0.194  0.806  0.000
Ge  0.388  0.194  0.500
Ge  0.612  0.806  0.000
Ge  0.806  0.194  0.500
Ge  0.806  0.612  0.500
Br  0.082  0.541  0.201
Br  0.127  0.254  0.629
Br  0.127  0.873  0.629
Br  0.254  0.127  0.129
Br  0.333  0.667  0.789
Br  0.459  0.541  0.201
Br  0.459  0.918  0.201
Br  0.541  0.082  0.701
Br  0.541  0.459  0.701
Br  0.667  0.333  0.289
Br  0.746  0.873  0.629
Br  0.873  0.127  0.129
Br  0.873  0.746  0.129
Br  0.918  0.459  0.701